Record 1
# Ho8Tl2Ir

A geometry-optimized Ho8Tl2Ir structure (PBE, the Alexandria database).

Cell: 5.175 6.713 9.842 Å, 110.53 105.24 90.00°
Fractional coordinates of all 11 atoms:
Ho: 0.591 0.440 0.181
Ho: 0.648 0.992 0.297
Ho: 0.210 0.329 0.419
Ho: 0.352 0.008 0.703
Ho: 0.981 0.208 0.963
Ho: 0.790 0.671 0.581
Ho: 0.019 0.792 0.037
Ho: 0.409 0.560 0.819
Tl: 0.174 0.740 0.348
Tl: 0.826 0.260 0.652
Ir: 0.500 0.000 0.000

Computed properties:
N(E_F) = 9.5 states/eV/f.u.
SG = C2/m, No. 12
mass density = 10.4 Mg/m³
formation energy = -321 kJ/mol of formula units

=====

Record 2
# La2SnSb3Pt4

A geometry-optimized La2SnSb3Pt4 structure (PBE, the Alexandria database).

Cell: 4.635 4.635 10.804 Å, 90.00 90.00 90.00°
Fractional coordinates of all 10 atoms:
Sb: 0.500 0.000 0.871
Sb: 0.000 0.000 0.500
Sb: 0.000 0.500 0.129
Pt: 0.500 0.000 0.629
Pt: 0.000 0.000 0.000
Pt: 0.000 0.500 0.371
Pt: 0.500 0.500 0.000
La: 0.500 0.000 0.235
La: 0.000 0.500 0.765
Sn: 0.500 0.500 0.500

Computed properties:
N(E_F) = 4.4 states/eV/f.u.
SG = P-4m2, No. 115
mass density = 11.0 Mg/m³
ΔE_f (raw) = -912 meV/atom

=====

Record 3
# Pu2MgBi4

A geometry-optimized Pu2MgBi4 structure (PBE, the Alexandria database).

Cell: 4.549 4.549 10.407 Å, 90.00 90.00 90.00°
Fractional coordinates of all 7 atoms:
Mg: 0.500 0.500 0.000
Bi: 0.500 0.500 0.500
Bi: 0.000 0.000 0.500
Bi: 0.000 0.500 0.819
Bi: 0.500 0.000 0.181
Pu: 0.500 0.000 0.743
Pu: 0.000 0.500 0.257

Computed properties:
N(E_F) = 26.6 states/eV/f.u.
SG = P-4m2, No. 115
mass density = 10.4 Mg/m³
formation energy = -157 kJ/mol of formula units

=====

Record 4
# PtPbSN2

A geometry-optimized PtPbSN2 structure (PBE, the Alexandria database).

Cell: 4.005 4.005 5.187 Å, 90.00 90.00 90.00°
Fractional coordinates of all 5 atoms:
Pb: 0.500 0.500 0.500
N: 0.000 0.500 0.000
N: 0.500 0.000 0.000
S: 0.000 0.000 0.500
Pt: 0.000 0.000 0.000

Computed properties:
polymorph energy (0 for the lowest one) = 0 meV/atom
N(E_F) = 4.7 states/eV/f.u.
SG = P4/mmm, No. 123
mass density = 9.2 Mg/m³
ΔE_f (raw) = 1010 meV/atom

=====

Record 5
# Tb6Tl5Cd

A geometry-optimized Tb6Tl5Cd structure (PBE, the Alexandria database).

Cell: 5.388 7.541 8.525 Å, 90.00 71.58 90.00°
Fractional coordinates of all 12 atoms:
Tb: 0.834 0.248 0.333
Tb: 0.834 0.752 0.333
Tb: 0.166 0.248 0.667
Tb: 0.500 0.751 0.000
Tb: 0.500 0.249 0.000
Tb: 0.166 0.752 0.667
Tl: 0.337 0.000 0.326
Tl: 0.663 0.000 0.674
Tl: 0.333 0.500 0.334
Tl: 0.667 0.500 0.666
Tl: 0.000 0.500 0.000
Cd: 0.000 0.000 0.000

Computed properties:
polymorph energy (0 for the lowest one) = 0 meV/atom
N(E_F) = 10.6 states/eV/f.u.
SG = Cmmm, No. 65
mass density = 10.5 Mg/m³
formation energy = -412 kJ/mol of formula units

=====

Record 6
# CaDySc2Hg4

A geometry-optimized CaDySc2Hg4 structure (PBE, the Alexandria database).

Cell: 5.135 5.135 8.907 Å, 73.25 73.25 60.00°
Fractional coordinates of all 8 atoms:
Dy: 0.500 0.500 0.500
Hg: 0.376 0.376 0.872
Hg: 0.874 0.874 0.377
Hg: 0.624 0.624 0.128
Hg: 0.126 0.126 0.623
Sc: 0.749 0.749 0.754
Sc: 0.251 0.251 0.246
Ca: 0.000 0.000 0.000

Computed properties:
N(E_F) = 4.9 states/eV/f.u.
SG = R-3m, No. 166
mass density = 9.5 Mg/m³
formation energy = -348 kJ/mol of formula units

=====

Record 7
# TiInI2N

A geometry-optimized TiInI2N structure (PBE, the Alexandria database).

Cell: 5.911 5.911 3.826 Å, 90.00 90.00 90.00°
Fractional coordinates of all 5 atoms:
I: 0.500 0.000 0.000
I: 0.000 0.500 0.000
In: 0.500 0.500 0.500
Ti: 0.000 0.000 0.000
N: 0.000 0.000 0.500

Computed properties:
polymorph energy (0 for the lowest one) = 0 meV/atom
N(E_F) = 1.5 states/eV/f.u.
SG = P4/mmm, No. 123
mass density = 5.3 Mg/m³
ΔE_f (raw) = -299 meV/atom

=====

Record 8
# Tl2NiTe

A geometry-optimized Tl2NiTe structure (PBE, the Alexandria database).

Cell: 8.188 8.188 8.188 Å, 27.10 27.10 27.10°
Fractional coordinates of all 4 atoms:
Te: 0.750 0.750 0.750
Tl: 0.983 0.983 0.983
Tl: 0.517 0.517 0.517
Ni: 0.250 0.250 0.250

Computed properties:
polymorph energy (0 for the lowest one) = 334 meV/atom
N(E_F) = 2.5 states/eV/f.u.
SG = R-3m, No. 166
mass density = 9.8 Mg/m³
ΔE_f (raw) = 250 meV/atom

=====

Record 9
# TlRe4Ni

A geometry-optimized TlRe4Ni structure (PBE, the Alexandria database).

Cell: 5.238 5.238 5.238 Å, 60.00 60.00 60.00°
Fractional coordinates of all 6 atoms:
Re: 0.626 0.122 0.626
Re: 0.122 0.626 0.626
Re: 0.626 0.626 0.626
Re: 0.626 0.626 0.122
Ni: 0.000 0.000 0.000
Tl: 0.250 0.250 0.250

Computed properties:
N(E_F) = 5.5 states/eV/f.u.
SG = F-43m, No. 216
mass density = 16.5 Mg/m³
formation energy = 497 kJ/mol of formula units

=====

Record 10
# AlCdTe2

A geometry-optimized AlCdTe2 structure (PBE, the Alexandria database).

Cell: 6.207 7.441 4.733 Å, 99.52 61.30 131.48°
Fractional coordinates of all 4 atoms:
Te: 0.000 0.500 0.500
Te: 0.000 0.000 0.000
Al: 0.500 0.500 0.000
Cd: 0.500 0.000 0.500

Computed properties:
polymorph energy (0 for the lowest one) = 299 meV/atom
N(E_F) = 0.7 states/eV/f.u.
SG = C2/m, No. 12
mass density = 4.7 Mg/m³
ΔE_f (raw) = -2 meV/atom

=====

Record 11
# ZrSiRu2

A geometry-optimized ZrSiRu2 structure (PBE, the Alexandria database).

Cell: 7.901 7.901 7.901 Å, 22.63 22.63 22.63°
Fractional coordinates of all 4 atoms:
Ru: 0.488 0.488 0.488
Ru: 0.012 0.012 0.012
Zr: 0.250 0.250 0.250
Si: 0.750 0.750 0.750

Computed properties:
N(E_F) = 3.0 states/eV/f.u.
SG = R-3m, No. 166
mass density = 8.3 Mg/m³
ΔE_f (raw) = -205 meV/atom

=====

Record 12
# TiAlTeN2

A geometry-optimized TiAlTeN2 structure (PBE, the Alexandria database).

Cell: 3.923 3.923 5.799 Å, 90.00 90.00 90.00°
Fractional coordinates of all 5 atoms:
Te: 0.000 0.000 0.500
N: 0.500 0.000 0.000
N: 0.000 0.500 0.000
Ti: 0.000 0.000 0.000
Al: 0.500 0.500 0.500

Computed properties:
polymorph energy (0 for the lowest one) = 0 meV/atom
N(E_F) = 2.0 states/eV/f.u.
SG = P4/mmm, No. 123
mass density = 4.3 Mg/m³
ΔE_f (raw) = 273 meV/atom

=====

Record 13
# Sr4CuAs4

A geometry-optimized Sr4CuAs4 structure (PBE, the Alexandria database).

Cell: 6.469 9.010 9.010 Å, 90.00 90.00 90.00°
Fractional coordinates of all 18 atoms:
Sr: 0.808 0.500 0.766
Sr: 0.808 0.500 0.234
Sr: 0.692 0.000 0.266
Sr: 0.692 0.000 0.734
Sr: 0.192 0.234 0.500
Sr: 0.308 0.734 0.000
Sr: 0.192 0.766 0.500
Sr: 0.308 0.266 0.000
As: 0.696 0.730 0.500
As: 0.304 0.500 0.270
As: 0.196 0.000 0.230
As: 0.696 0.270 0.500
As: 0.304 0.500 0.730
As: 0.196 0.000 0.770
As: 0.804 0.770 0.000
As: 0.804 0.230 0.000
Cu: 0.500 0.500 0.500
Cu: 0.000 0.000 0.000

Computed properties:
N(E_F) = 6.4 states/eV/f.u.
SG = P4_2/nmc, No. 137
mass density = 4.5 Mg/m³
formation energy = -740 kJ/mol of formula units

=====

Record 14
# Sr3CdIn3

A geometry-optimized Sr3CdIn3 structure (PBE, the Alexandria database).

Cell: 4.926 6.618 15.880 Å, 85.01 81.08 68.15°
Fractional coordinates of all 14 atoms:
Sr: 0.256 0.259 0.230
Sr: 0.464 0.687 0.385
Sr: 0.536 0.313 0.615
Sr: 0.744 0.741 0.770
Sr: 0.607 0.707 0.078
Sr: 0.393 0.293 0.922
In: 0.131 0.279 0.458
In: 0.967 0.833 0.233
In: 0.107 0.863 0.923
In: 0.033 0.167 0.767
In: 0.893 0.137 0.077
In: 0.869 0.721 0.542
Cd: 0.243 0.908 0.606
Cd: 0.757 0.092 0.394

Computed properties:
N(E_F) = 5.5 states/eV/f.u.
SG = C2/m, No. 12
mass density = 5.0 Mg/m³
formation energy = -275 kJ/mol of formula units

=====

Record 15
# ScTaTiGa2

A geometry-optimized ScTaTiGa2 structure (PBE, the Alexandria database).

Cell: 4.786 4.431 4.786 Å, 90.00 90.00 90.00°
Fractional coordinates of all 5 atoms:
Ti: 0.000 0.000 0.000
Ga: 0.500 0.000 0.000
Ga: 0.000 0.000 0.500
Sc: 0.000 0.500 0.000
Ta: 0.500 0.500 0.500

Computed properties:
N(E_F) = 3.5 states/eV/f.u.
SG = P4/mmm, No. 123
mass density = 6.8 Mg/m³
formation energy = 450 kJ/mol of formula units

=====

Record 16
# TlCr2Cl

A geometry-optimized TlCr2Cl structure (PBE, the Alexandria database).

Cell: 5.600 5.600 5.600 Å, 146.24 115.18 75.12°
Fractional coordinates of all 4 atoms:
Tl: 0.750 0.250 0.500
Cr: 0.021 0.021 0.000
Cr: 0.479 0.479 0.000
Cl: 0.250 0.750 0.500

Computed properties:
polymorph energy (0 for the lowest one) = 337 meV/atom
N(E_F) = 1.7 states/eV/f.u.
SG = Immm, No. 71
mass density = 6.6 Mg/m³
ΔE_f (raw) = 469 meV/atom

=====

Record 17
# Ho2AgRu

A geometry-optimized Ho2AgRu structure (PBE, the Alexandria database).

Cell: 3.404 3.404 7.484 Å, 90.00 90.00 90.00°
Fractional coordinates of all 4 atoms:
Ho: 0.000 0.000 0.222
Ho: 0.000 0.000 0.778
Ru: 0.500 0.500 0.000
Ag: 0.500 0.500 0.500

Computed properties:
N(E_F) = 2.6 states/eV/f.u.
SG = P4/mmm, No. 123
mass density = 10.3 Mg/m³
formation energy = -166 kJ/mol of formula units

=====

Record 18
# Rb2MgIr2

A geometry-optimized Rb2MgIr2 structure (PBE, the Alexandria database).

Cell: 6.852 6.852 5.781 Å, 90.00 90.00 90.00°
Fractional coordinates of all 10 atoms:
Mg: 0.000 0.000 0.000
Mg: 0.500 0.500 0.000
Ir: 0.376 0.876 0.000
Ir: 0.124 0.376 0.000
Ir: 0.624 0.124 0.000
Ir: 0.876 0.624 0.000
Rb: 0.176 0.676 0.500
Rb: 0.824 0.324 0.500
Rb: 0.676 0.824 0.500
Rb: 0.324 0.176 0.500

Computed properties:
polymorph energy (0 for the lowest one) = 0 meV/atom
N(E_F) = 4.6 states/eV/f.u.
SG = P4/mbm, No. 127
mass density = 7.1 Mg/m³
formation energy = 295 kJ/mol of formula units

=====

Record 19
# Lu3TlH

A geometry-optimized Lu3TlH structure (PBE, the Alexandria database).

Cell: 4.740 4.740 4.740 Å, 90.00 90.00 90.00°
Fractional coordinates of all 5 atoms:
Lu: 0.000 0.000 0.500
Lu: 0.500 0.000 0.000
Lu: 0.000 0.500 0.000
H: 0.000 0.000 0.000
Tl: 0.500 0.500 0.500

Computed properties:
E_tot = -20.48 eV/f.u.
N(E_F) = 3.3 states/eV/f.u.
SG = Pm-3m, No. 221
mass density = 11.4 Mg/m³

=====

Record 20
# Gd2SnO

A geometry-optimized Gd2SnO structure (PBE, the Alexandria database).

Cell: 3.200 3.200 7.819 Å, 90.00 90.00 90.00°
Fractional coordinates of all 4 atoms:
Gd: 0.000 0.000 0.800
Gd: 0.000 0.000 0.200
O: 0.500 0.500 0.000
Sn: 0.500 0.500 0.500

Computed properties:
polymorph energy (0 for the lowest one) = 355 meV/atom
N(E_F) = 2.4 states/eV/f.u.
SG = P4/mmm, No. 123
mass density = 9.3 Mg/m³
ΔE_f (raw) = -1302 meV/atom